Record 1
# MgAlAu2 PBE relaxed
data_MgAlAu2
_chemical_formula_sum 'Mg1 Al1 Au2'
_cell_length_a 4.5373
_cell_length_b 4.5373
_cell_length_c 3.3238
_cell_angle_alpha 90.00
_cell_angle_beta 90.00
_cell_angle_gamma 90.00
_symmetry_space_group_name_H-M 'P 4/m m m'
_symmetry_Int_Tables_number 123
_symmetry_space_group_name_Hall '-P 4 2'
loop_
_atom_site_label
_atom_site_type_symbol
_atom_site_fract_x
_atom_site_fract_y
_atom_site_fract_z
Mg1 Mg 0.0000 0.0000 0.0000
Al1 Al 0.5000 0.5000 0.0000
Au1 Au 0.0000 0.5000 0.5000
# DFT formation energy (eV per atom): -0.47
# Crystal system: tetragonal

=====

Record 2
# NaPuTeAu PBE relaxed
data_NaPuTeAu
_chemical_formula_sum 'Na4 Pu4 Te4 Au4'
_cell_length_a 7.4181
_cell_length_b 7.4181
_cell_length_c 7.4181
_cell_angle_alpha 90.00
_cell_angle_beta 90.00
_cell_angle_gamma 90.00
_symmetry_space_group_name_H-M 'F -4 3 m'
_symmetry_Int_Tables_number 216
_symmetry_space_group_name_Hall 'F -4 2 3'
loop_
_atom_site_label
_atom_site_type_symbol
_atom_site_fract_x
_atom_site_fract_y
_atom_site_fract_z
Na1 Na 0.0000 0.0000 0.0000
Pu1 Pu 0.0000 0.0000 0.5000
Te1 Te 0.2500 0.2500 0.7500
Au1 Au 0.2500 0.2500 0.2500
# Crystal system: cubic
# Electronic total energy (eV per cell): -98.28

=====

| no. | total magnetization (μB/f.u.) |
| --- | --- |
| 1 | 0.00 |
| 2 | 5.99 |